NdTm6Tl3: relaxed, PBE.

Properties
The calculation puts the calculated formation energy at -0.1143 eV per atom. The calculated total energy is -159.4 eV per cell.

The structure in CIF format:
```
data_NdTm6Tl3
_cell_length_a 11.293
_cell_length_b 12.745
_cell_length_c 8.434
_cell_angle_alpha 90.00
_cell_angle_beta 90.00
_cell_angle_gamma 90.00
_symmetry_space_group_name_H-M 'C m c 21'
_symmetry_Int_Tables_number 36
loop_
_symmetry_equiv_pos_as_xyz
'x,y,z'
'-x,-y,z+1/2'
'-x,y,z'
'x,-y,z+1/2'
'x+1/2,y+1/2,z'
'-x+1/2,-y+1/2,z+1/2'
'-x+1/2,y+1/2,z'
'x+1/2,-y+1/2,z+1/2'
loop_
_atom_site_label
_atom_site_type_symbol
_atom_site_fract_x
_atom_site_fract_y
_atom_site_fract_z
_atom_site_occupancy
Nd1 Nd 0.000 0.183 0.000 1
Tm1 Tm 0.000 0.271 0.576 1
Tm2 Tm 0.000 0.463 0.190 1
Tm3 Tm 0.168 0.065 0.664 1
Tm4 Tm 0.243 0.317 0.810 1
Tl1 Tl 0.000 0.079 0.359 1
Tl2 Tl 0.191 0.416 0.462 1
```